1.
First-principles (PBE-GGA) data for a relaxed structure of LiEr2Th3Te6, as listed in the Alexandria database.

## Properties
DOS at the Fermi energy ... 7.35 states/eV/cell
ρ ... 8.453 g cm⁻³
E_form (uncorrected) ... -1.124 eV/atom

Cell: 4.1750 9.2086 10.0640 Å, 110.16 101.97 90.00°
Closest atoms and distances in Å follow each position.
Element x y z (fractional)
Te 0.0017 0.2332 0.0035  2 Li 2.99, 1 Er 3.03, 3 Th 3.22-3.23
Te 0.3294 0.4241 0.6588  3 Er 3.03-3.04, 3 Th 3.18-3.20
Te 0.6559 0.0889 0.3118  1 Li 2.88, 2 Er 3.02, 2 Th 3.19
Te 0.9983 0.7668 0.9965  2 Li 2.99, 1 Er 3.03, 3 Th 3.22-3.23
Te 0.3441 0.9111 0.6882  1 Li 2.88, 2 Er 3.02, 2 Th 3.19
Te 0.6706 0.5759 0.3412  3 Er 3.03-3.04, 3 Th 3.18-3.20
Li 0.5000 0.0000 0.0000  6 Te 2.88-2.99
Er 0.8341 0.6668 0.6681  6 Te 3.02-3.04
Er 0.1659 0.3332 0.3319  6 Te 3.02-3.04
Th 0.5000 0.5000 0.0000  6 Te 3.18-3.23
Th 0.1706 0.8391 0.3412  6 Te 3.19-3.24
Th 0.8294 0.1609 0.6588  6 Te 3.19-3.24



2.
First-principles (PBE-GGA) data for a relaxed structure of TbNd8Sm5, as listed in the Alexandria database.

## Properties
DOS at the Fermi energy ... 20.70 states/eV/cell
ρ ... 6.931 g cm⁻³
Energy ... -63.03 eV/cell

Cell: 8.6346 8.6346 8.6346 Å, 110.94 106.57 110.94°
Closest atoms and distances in Å follow each position.
Element x y z (fractional)
Nd 0.5640 0.9022 0.8301  4 Sm 3.21-3.59, 1 Tb 3.22
Nd 0.1699 0.7339 0.0721  4 Sm 3.21-3.59, 1 Tb 3.22
Nd 0.6663 0.3959 0.9232  5 Sm 3.42-3.64, 4 Nd 3.66-3.81
Nd 0.0768 0.7431 0.4727  5 Sm 3.42-3.64, 4 Nd 3.66-3.81
Nd 0.5273 0.6041 0.2704  5 Sm 3.42-3.64, 4 Nd 3.66-3.81
Nd 0.9279 0.0978 0.6618  4 Sm 3.21-3.59, 1 Tb 3.22
Nd 0.3382 0.2661 0.4360  4 Sm 3.21-3.59, 1 Tb 3.22
Nd 0.7296 0.2569 0.3337  5 Sm 3.42-3.64, 4 Nd 3.66-3.81
Sm 0.8184 0.6855 0.7178  8 Nd 3.41-3.67, 2 Sm 3.58
Sm 0.5000 0.0000 0.5000  8 Nd 3.21-3.42
Sm 0.2822 0.1006 0.9677  8 Nd 3.41-3.67, 2 Sm 3.58
Sm 0.8671 0.8994 0.1816  8 Nd 3.41-3.67, 2 Sm 3.58
Sm 0.0323 0.3145 0.1329  8 Nd 3.41-3.67, 2 Sm 3.58
Tb 0.2500 0.5000 0.7500  4 Nd 3.22



3.
First-principles (PBE-GGA) data for a relaxed structure of PmBrCl, as listed in the Alexandria database.

## Properties
DOS at the Fermi energy ... 2.83 states/eV/cell
ρ ... 4.360 g cm⁻³
E_form (uncorrected) ... -1.806 eV/atom

Cell: 3.9257 6.7621 8.4487 Å, 65.79 77.07 90.00°
Closest atoms and distances in Å follow each position.
Element x y z (fractional)
Cl 0.3587 0.0328 0.2739  3 Pm 2.83
Cl 0.6413 0.9672 0.7261  3 Pm 2.83
Pm 0.2499 0.2515 0.5003  3 Cl 2.83, 3 Br 2.96
Pm 0.7501 0.7485 0.4997  3 Cl 2.83, 3 Br 2.96
Br 0.1264 0.4536 0.7566  3 Pm 2.96
Br 0.8736 0.5464 0.2434  3 Pm 2.96



4.
First-principles (PBE-GGA) data for a relaxed structure of PuCdSbH, as listed in the Alexandria database.

## Properties
DOS at the Fermi energy ... 18.59 states/eV/cell
ρ ... 9.919 g cm⁻³
Energy ... -48.04 eV/cell

Cell: 4.3432 4.3432 8.5057 Å, 90.00 90.00 90.00°
Closest atoms and distances in Å follow each position.
Element x y z (fractional)
Cd 0.5000 0.5000 0.0000  4 Sb 3.00, 4 Cd 3.07
Cd 0.0000 0.0000 0.0000  4 Sb 3.00, 4 Cd 3.07
H 0.0000 0.0000 0.5000  4 Pu 2.40
H 0.5000 0.5000 0.5000  4 Pu 2.40
Sb 0.0000 0.5000 0.7569  4 Cd 3.00, 4 H 3.08, 5 Pu 3.22-3.28
Sb 0.5000 0.0000 0.2431  4 Cd 3.00, 4 H 3.08, 5 Pu 3.22-3.28
Pu 0.0000 0.5000 0.3787  4 H 2.40
Pu 0.5000 0.0000 0.6213  4 H 2.40



5.
First-principles (PBE-GGA) data for a relaxed structure of KLi2RhPb, as listed in the Alexandria database.

## Properties
DOS at the Fermi energy ... 2.77 states/eV/cell
ρ ... 4.539 g cm⁻³
Energy ... -16.35 eV/cell

Cell: 5.0644 5.0644 5.1790 Å, 90.00 90.00 90.00°
Closest atoms and distances in Å follow each position.
Element x y z (fractional)
Pb 0.0000 0.0000 0.5000  2 Rh 2.59
Li 0.5000 0.0000 0.0000  2 Rh 2.53
Li 0.0000 0.5000 0.0000  2 Rh 2.53
K 0.5000 0.5000 0.5000  4 Pb 3.58, 8 Li 3.62
Rh 0.0000 0.0000 0.0000  4 Li 2.53, 2 Pb 2.59



6.
First-principles (PBE-GGA) data for a relaxed structure of Pm5YGe2, as listed in the Alexandria database.

## Properties
DOS at the Fermi energy ... 9.33 states/eV/cell
ρ ... 6.828 g cm⁻³
Energy ... -42.00 eV/cell

Cell: 4.4906 7.5716 7.5716 Å, 78.95 72.75 72.75°
Closest atoms and distances in Å follow each position.
Element x y z (fractional)
Pm 0.0000 0.5000 0.5000  2 Ge 3.19, 8 Pm 3.37
Pm 0.6601 0.1505 0.5292  3 Ge 3.03-3.24, 4 Pm 3.19-3.37
Pm 0.3399 0.4708 0.8495  3 Ge 3.03-3.24, 4 Pm 3.19-3.37
Pm 0.6601 0.5292 0.1505  3 Ge 3.03-3.24, 4 Pm 3.19-3.37
Pm 0.3399 0.8495 0.4708  3 Ge 3.03-3.24, 4 Pm 3.19-3.37
Ge 0.7045 0.7955 0.7955  7 Pm 3.03-3.24, 2 Y 3.15
Ge 0.2955 0.2045 0.2045  7 Pm 3.03-3.24, 2 Y 3.15
Y 0.0000 0.0000 0.0000  4 Ge 3.15



7.
First-principles (PBE-GGA) data for a relaxed structure of Na4Cd5Sb6, as listed in the Alexandria database.

## Properties
DOS at the Fermi energy ... 11.05 states/eV/cell
ρ ... 5.284 g cm⁻³
E_form (uncorrected) ... -0.214 eV/atom

Cell: 4.6540 11.0070 17.3814 Å, 90.00 90.00 102.20°
Closest atoms and distances in Å follow each position.
Element x y z (fractional)
Sb 0.5556 0.1113 0.3551  1 Sb 2.80, 2 Cd 2.94-2.95
Sb 0.1175 0.2350 0.1121  4 Cd 2.91-2.98, 1 Na 3.19
Sb 0.5650 0.1301 0.6277  5 Cd 2.93-3.04
Sb 0.4444 0.8887 0.8551  1 Sb 2.80, 2 Cd 2.94-2.95
Sb 0.4350 0.8699 0.1277  5 Cd 2.93-3.04
Sb 0.7774 0.5549 0.9823  4 Cd 2.87-2.99
Sb 0.7693 0.5387 0.2701  4 Cd 2.90-2.99, 1 Na 3.24
Sb 0.5688 0.1375 0.9026  1 Sb 2.80, 1 Cd 2.93
Sb 0.2226 0.4451 0.4823  4 Cd 2.87-2.99
Sb 0.8825 0.7650 0.6121  4 Cd 2.91-2.98, 1 Na 3.19
Sb 0.4312 0.8625 0.4026  1 Sb 2.80, 1 Cd 2.93
Sb 0.2307 0.4613 0.7701  4 Cd 2.90-2.99, 1 Na 3.24
Na 0.8250 0.6500 0.4432  6 Sb 3.19-3.34
Na 0.0329 0.0658 0.7690  6 Sb 3.36-3.45, 5 Cd 3.42-3.51
Na 0.9671 0.9342 0.2690  6 Sb 3.36-3.45, 5 Cd 3.42-3.51
Na 0.1750 0.3500 0.9432  6 Sb 3.19-3.34
Na 0.9938 0.9876 0.0031  7 Sb 3.27-3.63
Na 0.0062 0.0124 0.5031  7 Sb 3.27-3.63
Na 0.1637 0.3274 0.2992  6 Sb 3.29-3.43
Na 0.8363 0.6726 0.7992  6 Sb 3.29-3.43
Cd 0.2964 0.5927 0.6242  4 Sb 2.90-2.98, 2 Cd 3.14-3.22
Cd 0.6442 0.2885 0.4843  4 Sb 2.87-3.02
Cd 0.6501 0.3002 0.7672  4 Sb 2.90-3.04
Cd 0.3558 0.7115 0.9843  4 Sb 2.87-3.02
Cd 0.8495 0.6990 0.1293  4 Sb 2.97-2.99, 1 Cd 3.14
Cd 0.1505 0.3010 0.6293  4 Sb 2.97-2.99, 1 Cd 3.14
Cd 0.7036 0.4073 0.1242  4 Sb 2.90-2.98, 2 Cd 3.14-3.22
Cd 0.4374 0.8747 0.6860  4 Sb 2.91-2.94, 1 Cd 3.22
Cd 0.3499 0.6998 0.2672  4 Sb 2.90-3.04
Cd 0.5626 0.1253 0.1860  4 Sb 2.91-2.94, 1 Cd 3.22



8.
First-principles (PBE-GGA) data for a relaxed structure of LiCa2TlP, as listed in the Alexandria database.

## Properties
DOS at the Fermi energy ... 2.94 states/eV/cell
ρ ... 3.722 g cm⁻³
Energy ... -16.43 eV/cell

Cell: 5.5245 5.5245 4.7141 Å, 90.00 90.00 90.00°
Closest atoms and distances in Å follow each position.
Element x y z (fractional)
P 0.0000 0.0000 0.0000  2 Li 2.36
Tl 0.5000 0.5000 0.5000  8 Ca 3.63, 4 Li 3.91
Ca 0.0000 0.5000 0.0000  2 P 2.76
Ca 0.5000 0.0000 0.0000  2 P 2.76
Li 0.0000 0.0000 0.5000  2 P 2.36



9.
First-principles (PBE-GGA) data for a relaxed structure of Li2AcInIr, as listed in the Alexandria database.

## Properties
DOS at the Fermi energy ... 3.13 states/eV/cell
ρ ... 7.984 g cm⁻³
Energy ... -21.30 eV/cell

Cell: 4.1026 4.2316 7.1952 Å, 107.10 106.56 90.00°
Closest atoms and distances in Å follow each position.
Element x y z (fractional)
Ir 0.8472 0.8472 0.6945  3 Li 2.63-2.79, 2 In 2.86
Li 0.0478 0.0478 0.0955  1 Ir 2.63, 2 In 2.87, 2 Li 2.94
Li 0.7087 0.2087 0.4174  2 Ir 2.79, 2 Li 2.94, 4 In 2.95
In 0.1953 0.6953 0.3905  2 Ir 2.86, 6 Li 2.87-2.95
Ac 0.4132 0.4132 0.8263  4 Ir 3.07, 6 Li 3.38-3.44



10.
First-principles (PBE-GGA) data for a relaxed structure of CeSmTm2, as listed in the Alexandria database.

## Properties
DOS at the Fermi energy ... 7.29 states/eV/cell
ρ ... 8.551 g cm⁻³
Energy ... -18.85 eV/cell

Cell: 3.3884 3.3884 12.4275 Å, 82.16 82.16 60.00°
Closest atoms and distances in Å follow each position.
Element x y z (fractional)
Tm 0.0879 0.0879 0.7363  1 Ce 3.24, 6 Tm 3.39, 3 Sm 3.50
Tm 0.9121 0.9121 0.2637  1 Ce 3.24, 6 Tm 3.39, 3 Sm 3.50
Ce 0.0000 0.0000 0.0000  2 Tm 3.24, 6 Ce 3.39
Sm 0.5000 0.5000 0.5000  6 Sm 3.39, 6 Tm 3.50



11.
First-principles (PBE-GGA) data for a relaxed structure of Rb2CrAu, as listed in the Alexandria database.

## Properties
DOS at the Fermi energy ... 0.43 states/eV/cell
ρ ... 3.292 g cm⁻³
Energy ... -26.42 eV/cell

Cell: 12.6469 12.6469 9.3268 Å, 47.31 47.31 90.00°
Closest atoms and distances in Å follow each position.
Element x y z (fractional)
Rb 0.3750 0.2087 0.7500  2 Au 3.40
Rb 0.9587 0.6250 0.2500  2 Au 3.40
Rb 0.7913 0.1250 0.2500  2 Au 3.40
Rb 0.8750 0.0413 0.7500  2 Au 3.40
Au 0.7500 0.2500 0.5000  2 Cr 2.65
Au 0.0000 0.0000 0.0000  2 Cr 2.65
Cr 0.5000 0.5000 0.0000  2 Au 2.65
Cr 0.2500 0.7500 0.5000  2 Au 2.65



Question: Look up the DOS at the Fermi energy of the tenth one.
Answer: 7.29 states/eV/cell



Question: What is the DOS at the Fermi energy in the second record?
Answer: 20.70 states/eV/cell



Question: ρ of number 8 (LiCa2TlP)?
Answer: 3.722 g cm⁻³



Question: The highest DOS at the Fermi energy belongs to which entry?
Answer: TbNd8Sm5